# 1
# YV2RhI PBE relaxed
data_YV2RhI
_chemical_formula_sum 'Y1 V2 Rh1 I1'
_symmetry_space_group_name_H-M 'P 1'
_symmetry_Int_Tables_number 1
_cell_length_a 5.608
_cell_length_b 4.815
_cell_length_c 5.608
_cell_angle_alpha 90.00
_cell_angle_beta 90.00
_cell_angle_gamma 90.00
loop_
_symmetry_equiv_pos_as_xyz
'x,y,z'
loop_
_atom_site_label
_atom_site_type_symbol
_atom_site_fract_x
_atom_site_fract_y
_atom_site_fract_z
V1 V 0.000 0.000 0.500
V2 V 0.500 0.000 0.000
Rh1 Rh 0.000 0.500 0.000
Y1 Y 0.000 0.000 0.000
I1 I 0.500 0.500 0.500
# mass density	4.61	Mg/m³
# E	-5.100	eV/atom
# crystal system	tetragonal
# energy relative to the elements, uncorrected	1621	meV per atom

# 2
# OsRh3 PBE relaxed
data_OsRh3
_chemical_formula_sum 'Os2 Rh6'
_symmetry_space_group_name_H-M 'P 1'
_symmetry_Int_Tables_number 1
_cell_length_a 5.213
_cell_length_b 5.213
_cell_length_c 4.510
_cell_angle_alpha 90.00
_cell_angle_beta 90.00
_cell_angle_gamma 90.46
loop_
_symmetry_equiv_pos_as_xyz
'x,y,z'
loop_
_atom_site_label
_atom_site_type_symbol
_atom_site_fract_x
_atom_site_fract_y
_atom_site_fract_z
Os1 Os 0.581 0.581 0.250
Os2 Os 0.419 0.419 0.750
Rh1 Rh 0.084 0.422 0.250
Rh2 Rh 0.080 0.080 0.750
Rh3 Rh 0.920 0.920 0.250
Rh4 Rh 0.916 0.578 0.750
Rh5 Rh 0.422 0.084 0.250
Rh6 Rh 0.578 0.916 0.750
# mass density	13.52	Mg/m³
# energy relative to the elements	0.36	eV/atom
# E	-7.961	eV/atom
# crystal system	orthorhombic